Record 1
VASP calculation (GGA-PBE) on a relaxed structure of HfAgPb.

POSCAR file:
```
HfAgPb
1.0
-3.937 4.312 2.714
-3.663 -1.860 -2.358
-1.415 -5.311 6.388
Ag Hf Pb
4 4 4
Cartesian
-3.761 2.092 1.814
-2.270 -1.853 2.608
-6.745 -1.007 4.135
-5.253 -4.952 4.930
-6.977 1.571 2.461
-5.029 -0.661 1.196
-3.986 -2.199 5.547
-2.038 -4.431 4.282
-1.924 0.053 0.568
-4.358 0.461 4.027
-4.657 -3.321 2.716
-7.091 -2.913 6.175
```

Calculated total energy ... -16.1 eV/f.u.
SG ... Pnma
ρ ... 12.75 g/cm³

***

Record 2
VASP calculation (GGA-PBE) on a relaxed structure of NdSmCuS3.

POSCAR file:
```
NdSmCuS3
1.0
1.913 -6.353 0.000
1.913 6.353 0.000
0.000 0.000 10.654
Cu Nd S Sm
2 2 6 2
Cartesian
1.913 6.041 2.664
1.913 -6.041 7.991
1.913 0.000 0.000
1.913 0.000 5.327
1.913 4.473 0.927
1.913 1.117 2.664
1.913 4.473 4.400
1.913 -4.473 6.254
1.913 -1.117 7.991
1.913 -4.473 9.728
1.913 -3.019 2.664
1.913 3.019 7.991
```

Calculated total energy ... -34.9 eV/f.u.
SG ... Cmcm
ρ ... 5.83 g/cm³

***

Record 3
VASP calculation (GGA-PBE) on a relaxed structure of Lu2Sc4In3C3.

POSCAR file:
```
Lu2Sc4In3C3
1.0
-3.860 -1.585 4.173
-3.329 -4.817 -0.738
13.324 -6.468 5.698
C In Lu Sc
6 6 4 8
Cartesian
-3.122 -1.841 2.671
-1.664 -2.408 -0.369
-4.067 -4.560 0.764
3.809 -6.713 3.033
4.732 -4.026 4.936
2.326 -6.157 6.101
-1.692 -5.678 4.325
-0.018 -6.309 0.877
1.050 -3.255 3.027
5.085 -9.615 6.107
6.153 -6.561 8.257
7.827 -7.191 4.808
-1.991 -3.699 1.635
1.552 -6.469 3.840
4.583 -6.401 5.293
8.126 -9.170 7.499
-4.500 -5.723 2.697
0.288 -1.470 0.396
-0.725 -8.714 5.054
4.060 -4.444 2.780
2.075 -8.426 6.353
6.860 -4.155 4.080
5.847 -11.399 8.738
10.635 -7.146 6.437
```

Calculated total energy ... -76.5 eV/f.u.
SG ... C2/c
ρ ... 6.47 g/cm³

***

Record 4
VASP calculation (GGA-PBE) on a relaxed structure of FeCoSnPd.

POSCAR file:
```
FeCoSnPd
1.0
0.571 -2.711 3.383
-3.016 -3.035 0.903
0.871 -4.227 -0.708
Co Fe Pd Sn
1 1 1 1
Cartesian
-1.181 -7.480 2.684
-0.787 -4.986 1.790
-0.394 -2.493 0.895
0.000 0.000 0.000
```

Polymorph energy (0 for the lowest one) ... 0.0 meV/atom
Calculated total energy ... -24.8 eV/f.u.
SG ... F-43m
ρ ... 9.54 g/cm³

***

Record 5
VASP calculation (GGA-PBE) on a relaxed structure of NaInPdPb.

POSCAR file:
```
NaInPdPb
1.0
0.000 3.586 3.586
3.586 0.000 3.586
3.586 3.586 0.000
In Na Pb Pd
1 1 1 1
Cartesian
3.586 3.586 3.586
5.378 5.378 5.378
1.793 1.793 1.793
0.000 0.000 0.000
```

Polymorph energy (0 for the lowest one) ... 115.7 meV/atom
Calculated total energy ... -13.2 eV/f.u.
SG ... F-43m
ρ ... 8.13 g/cm³

***

Record 6
VASP calculation (GGA-PBE) on a relaxed structure of Tb4BiOs.

POSCAR file:
```
Tb4BiOs
1.0
4.497 -6.771 0.000
4.497 6.771 0.000
-2.421 0.000 5.709
Bi Os Tb
2 2 8
Cartesian
3.892 1.731 1.427
2.681 -1.731 4.282
3.892 6.764 1.427
2.681 -6.764 4.282
5.314 -4.512 0.375
2.120 -0.950 0.843
5.664 -0.950 2.012
2.469 -4.512 2.479
4.103 4.512 3.229
0.909 0.950 3.697
4.453 0.950 4.866
1.259 4.512 5.334
```

Calculated total energy ... -36.6 eV/f.u.
SG ... C2/c
ρ ... 9.89 g/cm³

***

Record 7
VASP calculation (GGA-PBE) on a relaxed structure of KBa2Zn3B9O19.

POSCAR file:
```
KBa2Zn3B9O19
1.0
-4.664 1.103 5.165
-4.785 -5.029 1.558
11.105 -8.796 11.995
B Ba K O Zn
18 4 2 38 6
Cartesian
-4.910 -4.710 4.207
-3.381 -2.840 4.415
-5.130 -3.281 6.250
-4.526 -4.543 8.460
-6.369 -5.795 9.570
-0.836 -4.917 5.424
3.661 -3.372 5.643
-3.663 -7.201 11.136
-0.179 -4.243 9.609
1.834 -8.478 9.110
5.319 -5.521 7.583
-2.006 -9.350 13.076
2.491 -7.805 13.295
8.025 -6.927 9.148
6.181 -8.179 10.259
6.786 -9.441 12.469
5.037 -9.881 14.303
6.565 -8.012 14.512
0.345 -2.066 4.691
1.634 -5.371 7.219
0.022 -7.351 11.499
1.311 -10.656 14.027
-7.810 -4.729 6.839
9.465 -7.993 11.879
-6.173 -2.385 5.951
-4.134 -3.696 3.599
-0.379 -0.789 1.930
-2.309 -2.160 3.966
-5.305 -4.586 5.527
-3.745 -2.734 5.761
-5.053 -3.448 7.691
-5.463 -5.734 8.541
-1.939 -5.736 5.191
-2.292 -1.854 8.353
-3.271 -5.027 7.905
-0.780 -3.972 6.392
0.328 -5.119 4.700
-2.087 -7.912 7.982
0.021 -7.702 6.783
-1.079 -3.631 10.469
0.935 -3.497 9.186
-0.306 -5.502 9.196
-2.561 -6.519 10.811
4.217 -6.202 7.907
1.962 -7.220 9.523
0.720 -9.225 9.533
2.735 -9.091 8.250
1.634 -5.020 11.935
3.742 -4.810 10.736
1.328 -7.603 14.018
2.436 -8.750 12.327
4.927 -7.695 10.814
3.948 -10.868 10.366
3.595 -6.986 13.527
7.119 -6.988 10.178
6.708 -9.274 11.028
5.400 -9.988 12.957
6.960 -8.136 13.192
3.965 -10.562 14.753
2.035 -11.933 16.788
5.790 -9.026 15.120
7.829 -10.337 12.768
-1.910 -2.047 2.058
-2.456 -3.372 7.184
-2.122 -6.175 8.896
3.777 -6.547 9.823
4.111 -9.350 11.535
3.565 -10.674 16.661
```

Calculated total energy ... -243.4 eV/f.u.
SG ... P-1
ρ ... 3.76 g/cm³

***

Record 8
VASP calculation (GGA-PBE) on a relaxed structure of ZnCdGeS3.

POSCAR file:
```
ZnCdGeS3
1.0
6.592 -1.812 0.000
6.592 1.812 0.000
0.000 0.000 11.291
Cd Ge S Zn
2 2 6 2
Cartesian
6.817 0.000 2.823
6.366 0.000 8.468
10.426 0.000 2.823
2.757 0.000 8.468
5.187 0.000 0.895
2.054 0.000 2.823
5.187 0.000 4.750
7.996 0.000 6.541
11.129 0.000 8.468
7.996 0.000 10.395
0.000 0.000 0.000
0.000 0.000 5.645
```

Polymorph energy (0 for the lowest one) ... 88.1 meV/atom
Calculated total energy ... -20.6 eV/f.u.
SG ... Cmcm
ρ ... 4.27 g/cm³

***

Record 9
VASP calculation (GGA-PBE) on a relaxed structure of Be2AgW.

POSCAR file:
```
Be2AgW
1.0
0.000 2.997 2.997
2.997 0.000 2.997
2.997 2.997 0.000
Ag Be W
1 2 1
Cartesian
4.496 4.496 4.496
1.499 1.499 1.499
2.997 2.997 2.997
0.000 0.000 0.000
```

Calculated total energy ... -19.9 eV/f.u.
SG ... F-43m
ρ ... 9.55 g/cm³

***

Record 10
VASP calculation (GGA-PBE) on a relaxed structure of HoErPO.

POSCAR file:
```
HoErPO
1.0
4.283 0.000 0.000
0.000 4.283 0.000
0.000 0.000 8.437
Er Ho O P
2 2 2 2
Cartesian
0.000 2.142 0.851
2.142 0.000 7.586
0.000 0.000 4.218
2.142 2.142 4.218
0.000 0.000 0.000
2.142 2.142 0.000
2.142 0.000 2.543
0.000 2.142 5.894
```

Polymorph energy (0 for the lowest one) ... 114.1 meV/atom
Calculated total energy ... -27.1 eV/f.u.
SG ... P4/nmm
ρ ... 8.14 g/cm³

***

Record 11
VASP calculation (GGA-PBE) on a relaxed structure of Nd2AlNiI2.

POSCAR file:
```
Nd2AlNiI2
1.0
-3.693 -0.519 -2.044
2.905 -3.106 -0.036
-5.000 -4.795 10.253
Al I Nd Ni
1 2 2 1
Cartesian
0.694 -2.254 -0.682
-1.683 -1.614 3.451
-2.612 -5.426 6.099
-2.302 -2.157 0.283
-5.683 -5.399 7.216
-4.989 -4.784 10.231
```

Calculated total energy ... -27.5 eV/f.u.
SG ... P3m1
ρ ... 5.38 g/cm³

***

Record 12
VASP calculation (GGA-PBE) on a relaxed structure of ErTl3Pb.

POSCAR file:
```
ErTl3Pb
1.0
3.364 1.942 8.924
-3.364 1.942 8.924
0.000 -3.885 8.924
Er Pb Tl
2 2 6
Cartesian
0.000 0.000 6.693
0.000 0.000 20.079
0.000 0.000 0.000
0.000 0.000 13.386
1.631 1.059 11.155
-0.102 1.942 15.617
-1.733 0.883 11.155
1.733 -0.883 15.617
0.102 -1.942 11.155
-1.631 -1.059 15.617
```

Calculated total energy ... -13.4 eV/f.u.
SG ... R-3c
ρ ... 9.37 g/cm³